## i
# Tb8Dy2Ho, optimized geometry, DFT GGA-PBE
# total magnetization = 0.0 μB/f.u.
data_Tb8Dy2Ho
_chemical_formula_sum 'Tb16 Dy4 Ho2'
_cell_length_a 16.4581
_cell_length_b 6.6331
_cell_length_c 6.6170
_cell_angle_alpha 90.00
_cell_angle_beta 100.37
_cell_angle_gamma 90.00
_space_group_name_H-M_alt 'C 1 2/m 1'
_space_group_IT_number 12
loop_
_space_group_symop_operation_xyz
'x,y,z'
'-x,-y,-z'
'-x,y,-z'
'x,-y,z'
'x+1/2,y+1/2,z'
'-x+1/2,-y+1/2,-z'
'-x+1/2,y+1/2,-z'
'x+1/2,-y+1/2,z'
loop_
_atom_site_label
_atom_site_fract_x
_atom_site_fract_y
_atom_site_fract_z
_atom_site_occupancy
Tb1 0.0881 0.2375 0.4041 1
Tb2 0.0901 0.0000 0.9078 1
Tb3 0.2440 0.5000 0.3120 1
Dy1 0.2002 0.5000 0.8013 1
Ho1 0.0000 0.5000 0.0000 1

---

## ii
# Tb8Dy2Ho, optimized geometry, DFT GGA-PBE
# total magnetization = 0.0 μB/f.u.
data_Tb8Dy2Ho
_chemical_formula_sum 'Tb16 Dy4 Ho2'
_cell_length_a 17.6721
_cell_length_b 7.1406
_cell_length_c 5.9754
_cell_angle_alpha 90.00
_cell_angle_beta 108.66
_cell_angle_gamma 90.00
_space_group_name_H-M_alt 'C 1 2/m 1'
_space_group_IT_number 12
loop_
_space_group_symop_operation_xyz
'x,y,z'
'-x,-y,-z'
'-x,y,-z'
'x,-y,z'
'x+1/2,y+1/2,z'
'-x+1/2,-y+1/2,-z'
'-x+1/2,y+1/2,-z'
'x+1/2,-y+1/2,z'
loop_
_atom_site_label
_atom_site_fract_x
_atom_site_fract_y
_atom_site_fract_z
_atom_site_occupancy
Tb1 0.0092 0.0000 0.2472 1
Tb2 0.1254 0.2786 0.6427 1
Tb3 0.2020 0.5000 0.2230 1
Dy1 0.1903 0.0000 0.1741 1
Ho1 0.0000 0.5000 0.0000 1

---

Question: which arrangement is favored energetically? Ranking from most to least stable: ii, i.

---

## i
# Tb2Dy4Ho5, optimized geometry, DFT GGA-PBE
# total magnetization = 0.0 μB/f.u.
data_Tb2Dy4Ho5
_chemical_formula_sum 'Tb4 Dy8 Ho10'
_cell_length_a 3.4738
_cell_length_b 8.9721
_cell_length_c 22.9725
_cell_angle_alpha 90.00
_cell_angle_beta 90.00
_cell_angle_gamma 90.00
_space_group_name_H-M_alt 'I m m m'
_space_group_IT_number 71
_space_group_name_Hall '-I 2 2'
loop_
_atom_site_label
_atom_site_fract_x
_atom_site_fract_y
_atom_site_fract_z
_atom_site_occupancy
Tb1 0.0000 0.0000 0.2313 1
Dy1 0.0000 0.0000 0.0969 1
Dy2 0.0000 0.3071 0.5000 1
Ho1 0.0000 0.1975 0.3556 1
Ho2 0.0000 0.5000 0.0000 1

---

## ii
# Tb2Dy4Ho5, optimized geometry, DFT GGA-PBE
# total magnetization = 0.0 μB/f.u.
data_Tb2Dy4Ho5
_chemical_formula_sum 'Tb4 Dy8 Ho10'
_cell_length_a 21.3256
_cell_length_b 3.6310
_cell_length_c 9.1565
_cell_angle_alpha 90.00
_cell_angle_beta 102.63
_cell_angle_gamma 90.00
_space_group_name_H-M_alt 'C 1 2/m 1'
_space_group_IT_number 12
loop_
_space_group_symop_operation_xyz
'x,y,z'
'-x,-y,-z'
'-x,y,-z'
'x,-y,z'
'x+1/2,y+1/2,z'
'-x+1/2,-y+1/2,-z'
'-x+1/2,y+1/2,-z'
'x+1/2,-y+1/2,z'
loop_
_atom_site_label
_atom_site_fract_x
_atom_site_fract_y
_atom_site_fract_z
_atom_site_occupancy
Tb1 0.1138 0.0000 0.0056 1
Dy1 0.0277 0.5000 0.2031 1
Dy2 0.1716 0.0000 0.4178 1
Ho1 0.0000 0.0000 0.5000 1
Ho2 0.1185 0.5000 0.6964 1
Ho3 0.2489 0.5000 0.1708 1

---

Question: which arrangement is favored energetically? Ranking from most to least stable: ii, i.